Na2BPd4 | Alexandria | PBE-GGA | optimized geometry; total magnetization = 0.00 μB/f.u.; D(E_F) = 0.2581 states/eV/atom; SG = I4/mmm; formation energy from the elements = -0.097 eV/atom
1.0
4.233 0.000 0.000
0.000 4.233 0.000
0.000 0.000 14.404
Na B Pd
4 2 8
direct
0.000 0.000 0.151
0.000 0.000 0.849
0.500 0.500 0.349
0.500 0.500 0.651
0.000 0.000 0.500
0.500 0.500 0.000
0.000 0.000 0.359
0.000 0.000 0.641
0.000 0.500 0.000
0.000 0.500 0.500
0.500 0.000 0.000
0.500 0.000 0.500
0.500 0.500 0.141
0.500 0.500 0.859

---

MgZnSe2 | Alexandria | PBE-GGA | optimized geometry; energy = -2.924 eV per atom; total magnetization = 0.00 μB/f.u.; D(E_F) = 0.4104 states/eV/atom; SG = Cmcm
1.0
3.770 0.000 0.000
0.000 14.354 0.000
0.000 0.000 7.001
Mg Zn Se
4 4 8
direct
0.000 0.095 0.250
0.000 0.905 0.750
0.500 0.405 0.750
0.500 0.595 0.250
0.000 0.223 0.750
0.000 0.777 0.250
0.500 0.277 0.250
0.500 0.723 0.750
0.000 0.361 0.001
0.000 0.361 0.499
0.000 0.639 0.501
0.000 0.639 0.999
0.500 0.139 0.501
0.500 0.139 0.999
0.500 0.861 0.001
0.500 0.861 0.499

---

HoMg5Pd3 | Alexandria | PBE-GGA | optimized geometry; total magnetization = 0.00 μB/f.u.; D(E_F) = 0.3842 states/eV/atom; SG = C2/m; formation energy from the elements = -0.386 eV/atom
1.0
4.887 -4.859 0.000
4.887 4.859 0.000
-2.947 0.000 8.625
Ho Mg Pd
2 10 6
direct
0.249 0.249 0.250
0.751 0.751 0.750
0.230 0.700 0.651
0.241 0.241 0.906
0.242 0.242 0.590
0.268 0.732 0.000
0.300 0.770 0.349
0.700 0.230 0.651
0.732 0.268 0.000
0.758 0.758 0.410
0.759 0.759 0.094
0.770 0.300 0.349
0.000 0.000 0.000
0.002 0.002 0.340
0.495 0.495 0.835
0.500 0.500 0.500
0.505 0.505 0.165
0.998 0.998 0.660

---

Ba2InBi4 | Alexandria | PBE-GGA | optimized geometry; total magnetization = 0.00 μB/f.u.; D(E_F) = 0.9769 states/eV/atom; offset from the most stable computed form = 321 meV per atom; SG = I4/mmm; formation energy from the elements = -0.174 eV/atom
1.0
5.819 0.000 0.000
0.000 5.819 0.000
0.000 0.000 17.680
Ba In Bi
4 2 8
direct
0.000 0.000 0.135
0.000 0.000 0.865
0.500 0.500 0.365
0.500 0.500 0.635
0.000 0.000 0.500
0.500 0.500 0.000
0.000 0.000 0.335
0.000 0.000 0.665
0.000 0.500 0.000
0.000 0.500 0.500
0.500 0.000 0.000
0.500 0.000 0.500
0.500 0.500 0.165
0.500 0.500 0.835

---

Ba2CuSbS5 | Alexandria | PBE-GGA | optimized geometry; energy = -4.637 eV per atom; total magnetization = 0.00 μB/f.u.; D(E_F) = 0.2151 states/eV/atom; SG = Cmc2_1
1.0
2.049 -9.788 0.000
2.049 9.788 0.000
0.000 0.000 11.771
Ba Cu Sb S
4 2 2 10
direct
0.115 0.885 0.500
0.118 0.882 0.915
0.882 0.118 0.415
0.885 0.115 0.000
0.438 0.562 0.648
0.562 0.438 0.148
0.225 0.775 0.210
0.775 0.225 0.710
0.090 0.910 0.207
0.277 0.723 0.561
0.279 0.721 0.857
0.353 0.647 0.207
0.495 0.505 0.483
0.505 0.495 0.983
0.647 0.353 0.707
0.721 0.279 0.357
0.723 0.277 0.061
0.910 0.090 0.707

---

HoPuIn | Alexandria | PBE-GGA | optimized geometry; total magnetization = 6.09 μB/f.u.; D(E_F) = 2.5121 states/eV/atom; offset from the most stable computed form = 194 meV per atom; SG = Pmmm; formation energy from the elements = -0.033 eV/atom
1.0
3.171 0.000 0.000
0.000 5.373 0.000
0.000 0.000 9.156
Ho Pu In
2 2 2
direct
0.000 0.000 0.175
0.000 0.000 0.825
0.000 0.500 0.340
0.000 0.500 0.660
0.500 0.000 0.500
0.500 0.500 0.000

---

Ti2Cd2C | Alexandria | PBE-GGA | optimized geometry; total magnetization = 0.00 μB/f.u.; D(E_F) = 0.4603 states/eV/atom; offset from the most stable computed form = 0 meV per atom; SG = R-3m; formation energy from the elements = -0.433 eV/atom
1.0
3.117 0.000 0.000
-1.559 2.700 0.000
0.000 0.000 29.470
Ti Cd C
6 6 3
direct
0.000 0.000 0.129
0.000 0.000 0.871
0.333 0.667 0.538
0.333 0.667 0.796
0.667 0.333 0.204
0.667 0.333 0.462
0.000 0.000 0.378
0.000 0.000 0.622
0.333 0.667 0.045
0.333 0.667 0.288
0.667 0.333 0.712
0.667 0.333 0.955
0.000 0.000 0.500
0.333 0.667 0.167
0.667 0.333 0.833

---

MnSbI2Br | Alexandria | PBE-GGA | optimized geometry; total magnetization = 4.79 μB/f.u.; D(E_F) = 0.4647 states/eV/atom; offset from the most stable computed form = 546 meV per atom; SG = P4/mmm
1.0
5.762 0.000 0.000
0.000 5.762 0.000
0.000 0.000 5.883
Mn Sb I Br
1 1 2 1
direct
0.000 0.000 0.000
0.500 0.500 0.000
0.000 0.500 0.500
0.500 0.000 0.500
0.500 0.500 0.500